Record 1
Below is a relaxed structure of Na2Sr3Li2, with properties calculated at the PBE level.

a = 13.326 Å, b = 13.326 Å, c = 4.473 Å
α = 90.00°, β = 90.00°, γ = 158.98°
Element x y z (fractional)
Na: 0.085 0.915 0.000
Na: 0.915 0.085 0.000
Sr: 0.330 0.670 0.500
Sr: 0.500 0.500 0.500
Sr: 0.670 0.330 0.500
Li: 0.219 0.781 0.000
Li: 0.781 0.219 0.000

Output
* DFT formation energy: 26 kJ/mol of formula units

---

Record 2
Below is a relaxed structure of Nb2CrReI, with properties calculated at the PBE level.

a = 4.964 Å, b = 4.964 Å, c = 4.780 Å
α = 90.00°, β = 90.00°, γ = 90.00°
Element x y z (fractional)
Nb: 0.000 0.500 0.000
Nb: 0.500 0.000 0.000
Cr: 0.000 0.000 0.500
Re: 0.000 0.000 0.000
I: 0.500 0.500 0.500

Output
* formation energy without anion corrections: 1.26 eV per atom

---

Record 3
Below is a relaxed structure of NdTiBi, with properties calculated at the PBE level.

a = 6.081 Å, b = 6.081 Å, c = 7.823 Å
α = 103.03°, β = 103.03°, γ = 38.39°
Element x y z (fractional)
Nd: 0.101 0.101 0.290
Nd: 0.899 0.899 0.710
Ti: 0.381 0.381 0.040
Ti: 0.619 0.619 0.960
Bi: 0.179 0.179 0.726
Bi: 0.821 0.821 0.274

Output
* DFT formation energy: -73 kJ/mol of formula units

---

Record 4
Below is a relaxed structure of V4CrW, with properties calculated at the PBE level.

a = 4.890 Å, b = 4.890 Å, c = 4.890 Å
α = 60.00°, β = 60.00°, γ = 60.00°
Element x y z (fractional)
V: 0.125 0.125 0.125
V: 0.125 0.125 0.625
V: 0.125 0.625 0.125
V: 0.625 0.125 0.125
Cr: 0.500 0.500 0.500
W: 0.750 0.750 0.750

Output
* distance to the lowest polymorph of the same formula: 0 meV/atom
* DFT formation energy: 71 kJ/mol of formula units

---

Record 5
Below is a relaxed structure of LiTb2Co, with properties calculated at the PBE level.

a = 8.516 Å, b = 8.516 Å, c = 8.516 Å
α = 26.11°, β = 26.11°, γ = 26.11°
Element x y z (fractional)
Li: 0.000 0.000 0.000
Tb: 0.557 0.557 0.557
Tb: 0.772 0.772 0.772
Co: 0.164 0.164 0.164

Output
* DFT formation energy: -3 kJ/mol of formula units

---

Record 6
Below is a relaxed structure of Ho2MgPd, with properties calculated at the PBE level.

a = 10.571 Å, b = 10.571 Å, c = 10.571 Å
α = 19.66°, β = 19.66°, γ = 19.66°
Element x y z (fractional)
Ho: 0.106 0.106 0.106
Ho: 0.894 0.894 0.894
Mg: 0.000 0.000 0.000
Pd: 0.500 0.500 0.500

Output
* DFT formation energy: -32 kJ/mol of formula units

---

Record 7
Below is a relaxed structure of Na3Zn3Ge2, with properties calculated at the PBE level.

a = 8.209 Å, b = 15.159 Å, c = 5.770 Å
α = 90.00°, β = 90.00°, γ = 90.00°
Element x y z (fractional)
Na: 0.033 0.111 0.112
Na: 0.033 0.389 0.112
Na: 0.180 0.250 0.594
Na: 0.320 0.750 0.094
Na: 0.467 0.611 0.612
Na: 0.467 0.889 0.612
Na: 0.533 0.111 0.388
Na: 0.533 0.389 0.388
Na: 0.680 0.250 0.906
Na: 0.820 0.750 0.406
Na: 0.967 0.611 0.888
Na: 0.967 0.889 0.888
Zn: 0.175 0.036 0.626
Zn: 0.175 0.464 0.626
Zn: 0.180 0.750 0.575
Zn: 0.320 0.250 0.075
Zn: 0.325 0.536 0.126
Zn: 0.325 0.964 0.126
Zn: 0.675 0.036 0.874
Zn: 0.675 0.464 0.874
Zn: 0.680 0.750 0.925
Zn: 0.820 0.250 0.425
Zn: 0.825 0.536 0.374
Zn: 0.825 0.964 0.374
Ge: 0.116 0.603 0.390
Ge: 0.116 0.897 0.390
Ge: 0.384 0.103 0.890
Ge: 0.384 0.397 0.890
Ge: 0.616 0.603 0.110
Ge: 0.616 0.897 0.110
Ge: 0.884 0.103 0.610
Ge: 0.884 0.397 0.610

Output
* DFT formation energy: -42 kJ/mol of formula units

---

Record 8
Below is a relaxed structure of Tm2TeSe, with properties calculated at the PBE level.

a = 7.582 Å, b = 7.582 Å, c = 7.582 Å
α = 30.85°, β = 30.85°, γ = 30.85°
Element x y z (fractional)
Tm: 0.000 0.000 0.000
Tm: 0.187 0.187 0.187
Te: 0.426 0.426 0.426
Se: 0.596 0.596 0.596

Output
* formation energy without anion corrections: -1.47 eV per atom
* distance to the lowest polymorph of the same formula: 0 meV/atom

---

Record 9
Below is a relaxed structure of SiSnCl2, with properties calculated at the PBE level.

a = 9.896 Å, b = 9.896 Å, c = 9.896 Å
α = 153.58°, β = 153.58°, γ = 37.71°
Element x y z (fractional)
Si: 0.000 0.000 0.000
Si: 0.750 0.250 0.500
Sn: 0.250 0.750 0.500
Sn: 0.500 0.500 0.000
Cl: 0.111 0.625 0.986
Cl: 0.375 0.361 0.486
Cl: 0.639 0.125 0.014
Cl: 0.875 0.889 0.514

Output
* formation energy without anion corrections: -0.05 eV per atom
* distance to the lowest polymorph of the same formula: 99 meV/atom

---

Record 10
Below is a relaxed structure of Y2USe3, with properties calculated at the PBE level.

a = 4.033 Å, b = 4.033 Å, c = 10.217 Å
α = 90.00°, β = 90.00°, γ = 120.00°
Element x y z (fractional)
Y: 0.333 0.667 0.173
Y: 0.667 0.333 0.827
U: 0.000 0.000 0.500
Se: 0.000 0.000 0.000
Se: 0.333 0.667 0.668
Se: 0.667 0.333 0.332

Output
* formation energy without anion corrections: -1.52 eV per atom

---

Record 11
Below is a relaxed structure of RbGaPb, with properties calculated at the PBE level.

a = 9.974 Å, b = 9.974 Å, c = 9.974 Å
α = 93.34°, β = 93.34°, γ = 152.08°
Element x y z (fractional)
Rb: 0.000 0.198 0.198
Rb: 0.000 0.802 0.802
Rb: 0.198 0.000 0.198
Rb: 0.802 0.000 0.802
Ga: 0.278 0.278 0.555
Ga: 0.278 0.722 0.000
Ga: 0.722 0.278 0.000
Ga: 0.722 0.722 0.445
Pb: 0.118 0.500 0.618
Pb: 0.500 0.118 0.618
Pb: 0.500 0.882 0.382
Pb: 0.882 0.500 0.382

Output
* DFT formation energy: 18 kJ/mol of formula units

---

Record 12
Below is a relaxed structure of SrNiHg, with properties calculated at the PBE level.

a = 5.247 Å, b = 4.097 Å, c = 7.579 Å
α = 90.00°, β = 100.74°, γ = 90.00°
Element x y z (fractional)
Sr: 0.000 0.000 0.000
Sr: 0.393 0.000 0.547
Ni: 0.345 0.500 0.246
Ni: 0.548 0.000 0.189
Hg: 0.480 0.500 0.920
Hg: 0.880 0.500 0.343

Output
* DFT formation energy: -57 kJ/mol of formula units

---

Record 13
Below is a relaxed structure of RbTlH2, with properties calculated at the PBE level.

a = 7.447 Å, b = 7.447 Å, c = 7.447 Å
α = 134.72°, β = 134.72°, γ = 65.96°
Element x y z (fractional)
Rb: 0.000 0.000 0.000
Rb: 0.750 0.250 0.500
Tl: 0.250 0.750 0.500
Tl: 0.500 0.500 0.000
H: 0.193 0.625 0.068
H: 0.375 0.443 0.568
H: 0.557 0.125 0.932
H: 0.875 0.807 0.432

Output
* distance to the lowest polymorph of the same formula: 2 meV/atom

---

Record 14
Below is a relaxed structure of La3P5Se12, with properties calculated at the PBE level.

a = 14.026 Å, b = 14.026 Å, c = 14.026 Å
α = 109.47°, β = 109.47°, γ = 109.47°
Element x y z (fractional)
La: 0.125 0.250 0.375
La: 0.125 0.375 0.750
La: 0.250 0.375 0.125
La: 0.250 0.875 0.625
La: 0.375 0.125 0.250
La: 0.375 0.750 0.125
La: 0.625 0.250 0.875
La: 0.625 0.875 0.750
La: 0.750 0.125 0.375
La: 0.750 0.625 0.875
La: 0.875 0.625 0.250
La: 0.875 0.750 0.625
P: 0.000 0.000 0.000
P: 0.000 0.000 0.500
P: 0.000 0.500 0.000
P: 0.000 0.500 0.500
P: 0.125 0.750 0.875
P: 0.125 0.875 0.250
P: 0.250 0.125 0.875
P: 0.250 0.625 0.375
P: 0.375 0.250 0.625
P: 0.375 0.625 0.750
P: 0.500 0.000 0.000
P: 0.500 0.000 0.500
P: 0.500 0.500 0.000
P: 0.500 0.500 0.500
P: 0.625 0.375 0.250
P: 0.625 0.750 0.375
P: 0.750 0.375 0.625
P: 0.750 0.875 0.125
P: 0.875 0.125 0.750
P: 0.875 0.250 0.125
Se: 0.028 0.203 0.120
Se: 0.028 0.325 0.908
Se: 0.083 0.703 0.675
Se: 0.083 0.880 0.408
Se: 0.092 0.620 0.417
Se: 0.092 0.972 0.675
Se: 0.120 0.028 0.203
Se: 0.120 0.592 0.917
Se: 0.175 0.203 0.583
Se: 0.175 0.472 0.592
Se: 0.203 0.120 0.028
Se: 0.203 0.583 0.175
Se: 0.297 0.325 0.917
Se: 0.297 0.472 0.380
Se: 0.325 0.908 0.028
Se: 0.325 0.917 0.297
Se: 0.380 0.297 0.472
Se: 0.380 0.583 0.908
Se: 0.408 0.083 0.880
Se: 0.408 0.825 0.528
Se: 0.417 0.092 0.620
Se: 0.417 0.825 0.797
Se: 0.472 0.380 0.297
Se: 0.472 0.592 0.175
Se: 0.528 0.408 0.825
Se: 0.528 0.620 0.703
Se: 0.583 0.175 0.203
Se: 0.583 0.908 0.380
Se: 0.592 0.175 0.472
Se: 0.592 0.917 0.120
Se: 0.620 0.417 0.092
Se: 0.620 0.703 0.528
Se: 0.675 0.083 0.703
Se: 0.675 0.092 0.972
Se: 0.703 0.528 0.620
Se: 0.703 0.675 0.083
Se: 0.797 0.417 0.825
Se: 0.797 0.880 0.972
Se: 0.825 0.528 0.408
Se: 0.825 0.797 0.417
Se: 0.880 0.408 0.083
Se: 0.880 0.972 0.797
Se: 0.908 0.028 0.325
Se: 0.908 0.380 0.583
Se: 0.917 0.120 0.592
Se: 0.917 0.297 0.325
Se: 0.972 0.675 0.092
Se: 0.972 0.797 0.880

Output
* formation energy without anion corrections: -0.62 eV per atom

---

Record 15
Below is a relaxed structure of SbPIr2, with properties calculated at the PBE level.

a = 4.329 Å, b = 3.133 Å, c = 5.229 Å
α = 90.00°, β = 112.99°, γ = 90.00°
Element x y z (fractional)
Sb: 0.000 0.000 0.000
P: 0.000 0.500 0.500
Ir: 0.500 0.000 0.500
Ir: 0.500 0.500 0.000

Output
* formation energy without anion corrections: 0.21 eV per atom
* distance to the lowest polymorph of the same formula: 485 meV/atom

---

Record 16
Below is a relaxed structure of Na3RuRh3S8, with properties calculated at the PBE level.

a = 7.223 Å, b = 7.223 Å, c = 7.608 Å
α = 118.41°, β = 118.41°, γ = 59.95°
Element x y z (fractional)
Na: 0.000 0.000 0.000
Na: 0.000 0.500 0.000
Na: 0.500 0.000 0.000
Ru: 0.000 0.000 0.500
Rh: 0.000 0.500 0.500
Rh: 0.500 0.000 0.500
Rh: 0.500 0.500 0.500
S: 0.229 0.730 0.689
S: 0.230 0.230 0.689
S: 0.270 0.771 0.311
S: 0.271 0.271 0.312
S: 0.729 0.729 0.688
S: 0.730 0.229 0.689
S: 0.770 0.770 0.311
S: 0.771 0.270 0.311

Output
* formation energy without anion corrections: -0.62 eV per atom

---

Record 17
Below is a relaxed structure of CaFeAs2, with properties calculated at the PBE level.

a = 4.457 Å, b = 4.457 Å, c = 3.841 Å
α = 90.00°, β = 90.00°, γ = 90.00°
Element x y z (fractional)
Ca: 0.000 0.000 0.000
Fe: 0.500 0.500 0.000
As: 0.000 0.500 0.500
As: 0.500 0.000 0.500

Output
* distance to the lowest polymorph of the same formula: 362 meV/atom
* DFT formation energy: -42 kJ/mol of formula units

---

Record 18
Below is a relaxed structure of MoBr, with properties calculated at the PBE level.

a = 6.875 Å, b = 6.875 Å, c = 4.889 Å
α = 90.00°, β = 90.00°, γ = 90.00°
Element x y z (fractional)
Mo: 0.107 0.107 0.000
Mo: 0.393 0.607 0.500
Mo: 0.607 0.393 0.500
Mo: 0.893 0.893 0.000
Br: 0.224 0.224 0.500
Br: 0.276 0.724 0.000
Br: 0.724 0.276 0.000
Br: 0.776 0.776 0.500

Output
* formation energy without anion corrections: 0.76 eV per atom
* distance to the lowest polymorph of the same formula: 830 meV/atom

---

Record 19
Below is a relaxed structure of Cs2YErSe4, with properties calculated at the PBE level.

a = 7.367 Å, b = 4.253 Å, c = 8.720 Å
α = 90.00°, β = 106.34°, γ = 90.00°
Element x y z (fractional)
Cs: 0.000 0.000 0.000
Cs: 0.500 0.500 0.000
Y: 0.000 0.500 0.500
Er: 0.500 0.000 0.500
Se: 0.231 0.000 0.685
Se: 0.274 0.500 0.316
Se: 0.726 0.500 0.684
Se: 0.769 0.000 0.315

Output
* formation energy without anion corrections: -1.73 eV per atom

---

Record 20
Below is a relaxed structure of Al2ZnCd, with properties calculated at the PBE level.

a = 5.505 Å, b = 5.505 Å, c = 5.505 Å
α = 46.14°, β = 46.14°, γ = 46.14°
Element x y z (fractional)
Al: 0.000 0.000 0.000
Al: 0.212 0.212 0.212
Zn: 0.618 0.618 0.618
Cd: 0.432 0.432 0.432

Output
* distance to the lowest polymorph of the same formula: 104 meV/atom
* DFT formation energy: 62 kJ/mol of formula units